[1]
Compound: PrAgIr4
Source: Alexandria via LeMat-Bulk
Functional: PBE-GGA
Structure: optimized geometry

## Properties
Symmetry: F-43m, No. 216
D(E_F) (states/eV per cell): 7.2
Formation energy from the elements (eV/atom): -0.181
Spin magnetization (μB per atom): 0.000
Crystal system: cubic

Lattice parameters (Å, degrees): 5.3531 5.3531 5.3531 60.00 60.00 60.00
Positions (direct):
Pr 0.0000 0.0000 0.0000
Ag 0.7500 0.7500 0.7500
Ir 0.3754 0.3754 0.3754
Ir 0.3754 0.3754 0.8739
Ir 0.3754 0.8739 0.3754
Ir 0.8739 0.3754 0.3754



[2]
Compound: K3CeZr2Se6
Source: Alexandria via LeMat-Bulk
Functional: PBE-GGA
Structure: optimized geometry

## Properties
Symmetry: C2/m, No. 12
Raw formation energy (eV/atom): -1.44
D(E_F) (states/eV per cell): 8.5
Spin magnetization (μB per atom): 0.203
Crystal system: monoclinic

Lattice parameters (Å, degrees): 7.0459 7.0459 8.1229 98.34 98.34 120.08
Positions (direct):
K 0.0000 0.0000 0.0000
K 0.3372 0.6628 0.0000
K 0.6628 0.3372 0.0000
Ce 0.5000 0.5000 0.5000
Zr 0.1675 0.8325 0.5000
Zr 0.8325 0.1675 0.5000
Se 0.0810 0.4311 0.2942
Se 0.2179 0.2179 0.7043
Se 0.4311 0.0810 0.2942
Se 0.5689 0.9190 0.7058
Se 0.7821 0.7821 0.2957
Se 0.9190 0.5689 0.7058



[3]
Compound: ScH3C3O6
Source: Alexandria via LeMat-Bulk
Functional: PBE-GGA
Structure: optimized geometry

## Properties
Symmetry: R-3c, No. 167
D(E_F) (states/eV per cell): 0.0
Raw total energy (eV/atom): -7.0819
Spin magnetization (μB per atom): 0.000
Crystal system: trigonal

Lattice parameters (Å, degrees): 7.1415 7.1415 7.1415 103.08 103.08 103.08
Positions (direct):
Sc 0.0000 0.0000 0.0000
Sc 0.5000 0.5000 0.5000
H 0.0564 0.7500 0.4436
H 0.2500 0.5564 0.9436
H 0.4436 0.0564 0.7500
H 0.5564 0.9436 0.2500
H 0.7500 0.4436 0.0564
H 0.9436 0.2500 0.5564
C 0.0425 0.2500 0.4575
C 0.2500 0.4575 0.0425
C 0.4575 0.0425 0.2500
C 0.5425 0.9575 0.7500
C 0.7500 0.5425 0.9575
C 0.9575 0.7500 0.5425
O 0.0219 0.8869 0.7090
O 0.1131 0.2910 0.9781
O 0.2090 0.3869 0.5219
O 0.2910 0.9781 0.1131
O 0.3869 0.5219 0.2090
O 0.4781 0.7910 0.6131
O 0.5219 0.2090 0.3869
O 0.6131 0.4781 0.7910
O 0.7090 0.0219 0.8869
O 0.7910 0.6131 0.4781
O 0.8869 0.7090 0.0219
O 0.9781 0.1131 0.2910



[4]
Compound: KGa2Au4
Source: Alexandria via LeMat-Bulk
Functional: PBE-GGA
Structure: optimized geometry

## Properties
Symmetry: P4_2/mnm, No. 136
D(E_F) (states/eV per cell): 5.8
Formation energy from the elements (eV/atom): -0.250
Spin magnetization (μB per atom): 0.000
Crystal system: tetragonal

Lattice parameters (Å, degrees): 8.2333 8.2333 4.2365 90.00 90.00 90.00
Positions (direct):
K 0.0000 0.0000 0.0000
K 0.5000 0.5000 0.5000
Ga 0.2221 0.2221 0.5000
Ga 0.2779 0.7221 0.0000
Ga 0.7221 0.2779 0.0000
Ga 0.7779 0.7779 0.5000
Au 0.0826 0.6667 0.5000
Au 0.1667 0.4174 0.0000
Au 0.3333 0.9174 0.5000
Au 0.4174 0.1667 0.0000
Au 0.5826 0.8333 0.0000
Au 0.6667 0.0826 0.5000
Au 0.8333 0.5826 0.0000
Au 0.9174 0.3333 0.5000



[5]
Compound: ErThRe4
Source: Alexandria via LeMat-Bulk
Functional: PBE-GGA
Structure: optimized geometry

## Properties
Symmetry: F-43m, No. 216
D(E_F) (states/eV per cell): 11.8
Formation energy from the elements (eV/atom): -0.096
Excess energy over the best structure of this formula in the dataset (eV/atom): 0.074
Spin magnetization (μB per atom): 0.000
Crystal system: cubic

Lattice parameters (Å, degrees): 5.4789 5.4789 5.4789 60.00 60.00 60.00
Positions (direct):
Er 0.0000 0.0000 0.0000
Th 0.2500 0.2500 0.2500
Re 0.1242 0.6253 0.6253
Re 0.6253 0.1242 0.6253
Re 0.6253 0.6253 0.1242
Re 0.6253 0.6253 0.6253



[6]
Compound: Nd6Ho3Sc2
Source: Alexandria via LeMat-Bulk
Functional: PBE-GGA
Structure: optimized geometry

## Properties
Symmetry: C2/m, No. 12
D(E_F) (states/eV per cell): 14.7
Formation energy from the elements (eV/atom): 0.192
Excess energy over the best structure of this formula in the dataset (eV/atom): 0.000
Spin magnetization (μB per atom): 0.000
Crystal system: monoclinic

Lattice parameters (Å, degrees): 6.1985 6.1985 11.2955 95.26 95.26 120.06
Positions (direct):
Nd 0.0793 0.4106 0.2371
Nd 0.2521 0.2521 0.7629
Nd 0.4106 0.0793 0.2371
Nd 0.5894 0.9207 0.7629
Nd 0.7479 0.7479 0.2371
Nd 0.9207 0.5894 0.7629
Ho 0.1666 0.8334 0.5000
Ho 0.5000 0.5000 0.5000
Ho 0.8334 0.1666 0.5000
Sc 0.3330 0.6670 0.0000
Sc 0.6670 0.3330 0.0000